## i
Entry from the Alexandria database: a relaxed TaAs2SBr crystal (GGA-PBE).

Unit cell a=4.7221 b=4.7221 c=4.8787 alpha=90.00 beta=90.00 gamma=90.00
Sites, in units of the cell vectors:
As  0.5000  0.0000  0.0000
As  0.0000  0.5000  0.0000
S  0.0000  0.0000  0.0000
Br  0.0000  0.0000  0.5000
Ta  0.5000  0.5000  0.5000

Output
space-group type	No. 123
crystal system	tetragonal
Fermi-level density of states	4.05	states/eV/f.u.
total magnetization	1.49	μB per cell

## ii
Entry from the Alexandria database: a relaxed TaAs2SBr crystal (GGA-PBE).

Unit cell a=5.0727 b=5.0727 c=4.9030 alpha=90.00 beta=90.00 gamma=90.00
Sites, in units of the cell vectors:
As  0.0000  0.5000  0.0000
As  0.5000  0.0000  0.0000
Br  0.0000  0.0000  0.5000
Ta  0.0000  0.0000  0.0000
S  0.5000  0.5000  0.5000

Output
space-group type	No. 123
crystal system	tetragonal
Fermi-level density of states	4.37	states/eV/f.u.
total magnetization	0.00	μB per cell

Energies relative to the most stable structure, in meV per atom: i 645; ii 0.

## i
Entry from the Alexandria database: a relaxed TeAsSBr2 crystal (GGA-PBE).

Unit cell a=5.7309 b=5.0001 c=5.7309 alpha=90.00 beta=90.00 gamma=90.00
Sites, in units of the cell vectors:
Br  0.0000  0.0000  0.5000
Br  0.5000  0.0000  0.0000
Te  0.0000  0.0000  0.0000
As  0.5000  0.5000  0.5000
S  0.0000  0.5000  0.0000

Output
space-group type	No. 123
crystal system	tetragonal
Fermi-level density of states	5.39	states/eV/f.u.
total magnetization	2.60	μB per cell

## ii
Entry from the Alexandria database: a relaxed TeAsSBr2 crystal (GGA-PBE).

Unit cell a=4.8028 b=4.8028 c=5.8476 alpha=90.00 beta=90.00 gamma=90.00
Sites, in units of the cell vectors:
Br  0.5000  0.0000  0.0000
Br  0.0000  0.5000  0.0000
Te  0.5000  0.5000  0.5000
As  0.0000  0.0000  0.5000
S  0.0000  0.0000  0.0000

Output
space-group type	No. 123
crystal system	tetragonal
Fermi-level density of states	3.87	states/eV/f.u.
total magnetization	0.17	μB per cell

## iii
Entry from the Alexandria database: a relaxed TeAsSBr2 crystal (GGA-PBE).

Unit cell a=5.3776 b=5.3776 c=5.8060 alpha=90.00 beta=90.00 gamma=90.00
Sites, in units of the cell vectors:
Br  0.5000  0.0000  0.0000
Br  0.0000  0.5000  0.0000
As  0.0000  0.0000  0.5000
S  0.5000  0.5000  0.5000
Te  0.0000  0.0000  0.0000

Output
space-group type	No. 123
crystal system	tetragonal
Fermi-level density of states	6.57	states/eV/f.u.
total magnetization	0.75	μB per cell

Energies relative to the most stable structure, in meV per atom: i 20; ii 0; iii 220.

## i
Entry from the Alexandria database: a relaxed TlAsSBr2 crystal (GGA-PBE).

Unit cell a=5.6584 b=5.6584 c=4.7427 alpha=90.00 beta=90.00 gamma=90.00
Sites, in units of the cell vectors:
Br  0.5000  0.0000  0.0000
Br  0.0000  0.5000  0.0000
S  0.0000  0.0000  0.0000
Tl  0.5000  0.5000  0.5000
As  0.0000  0.0000  0.5000

Output
space-group type	No. 123
crystal system	tetragonal
Fermi-level density of states	2.67	states/eV/f.u.
total magnetization	0.00	μB per cell

## ii
Entry from the Alexandria database: a relaxed TlAsSBr2 crystal (GGA-PBE).

Unit cell a=5.3859 b=5.3859 c=5.7835 alpha=90.00 beta=90.00 gamma=90.00
Sites, in units of the cell vectors:
Br  0.5000  0.0000  0.0000
Br  0.0000  0.5000  0.0000
As  0.0000  0.0000  0.5000
S  0.5000  0.5000  0.5000
Tl  0.0000  0.0000  0.0000

Output
space-group type	No. 123
crystal system	tetragonal
Fermi-level density of states	7.69	states/eV/f.u.
total magnetization	0.00	μB per cell

Energies relative to the most stable structure, in meV per atom: i 0; ii 649.

## i
Entry from the Alexandria database: a relaxed ZnAs2SBr crystal (GGA-PBE).

Unit cell a=4.8757 b=4.8757 c=5.2881 alpha=90.00 beta=90.00 gamma=90.00
Sites, in units of the cell vectors:
As  0.0000  0.5000  0.0000
As  0.5000  0.0000  0.0000
Zn  0.5000  0.5000  0.5000
S  0.0000  0.0000  0.0000
Br  0.0000  0.0000  0.5000

Output
space-group type	No. 123
crystal system	tetragonal
Fermi-level density of states	4.25	states/eV/f.u.
total magnetization	0.97	μB per cell

## ii
Entry from the Alexandria database: a relaxed ZnAs2SBr crystal (GGA-PBE).

Unit cell a=4.9749 b=4.9749 c=4.8076 alpha=90.00 beta=90.00 gamma=90.00
Sites, in units of the cell vectors:
As  0.5000  0.0000  0.0000
As  0.0000  0.5000  0.0000
Br  0.0000  0.0000  0.5000
Zn  0.0000  0.0000  0.0000
S  0.5000  0.5000  0.5000

Output
space-group type	No. 123
crystal system	tetragonal
Fermi-level density of states	3.80	states/eV/f.u.
total magnetization	0.00	μB per cell

Energies relative to the most stable structure, in meV per atom: i 0; ii 44.